! Li2CdFeO GGA+U optimized geometry; values from VASP
! space group: P4/mmm
! total magnetization: 3.04 μB per cell
! raw total energy: -3.56 eV/atom
! theoretical density: 4.18 Mg/m³
! volume: 15.76 Å³ per atom
&SYSTEM
  ibrav = 0, nat = 5, ntyp = 4
/
ATOMIC_SPECIES
Li 6.94 Li.upf
Cd 112.41 Cd.upf
Fe 55.84 Fe.upf
O 16.00 O.upf
CELL_PARAMETERS angstrom
3.8292 0.0000 0.0000
0.0000 3.8292 0.0000
0.0000 0.0000 5.3736
ATOMIC_POSITIONS angstrom
Li 0.0000 1.9146 0.0000
Li 1.9146 0.0000 0.0000
Cd 0.0000 0.0000 2.6868
Fe 1.9146 1.9146 2.6868
O 0.0000 0.0000 0.0000